# 1
A plane-wave DFT calculation with PBE was carried out for Fe2CuIr after structural relaxation.

a = 6.6908 Å, b = 6.6908 Å, c = 5.3610 Å
α = 51.39°, β = 51.39°, γ = 90.00°
Element x y z (fractional)
Ir 0.0000 0.0000 0.0000
Ir 0.7500 0.2500 0.5000
Fe 0.6236 0.1250 0.2500
Fe 0.1264 0.6250 0.2500
Fe 0.3750 0.3764 0.7500
Fe 0.8750 0.8736 0.7500
Cu 0.5000 0.5000 0.0000
Cu 0.2500 0.7500 0.5000

Symmetry: No. 122
M_tot, μB/f.u.: 6.5
V, Å³ per cell: 112.88
N(E_F), states/eV/atom: 0.989
Calculated formation energy, eV/atom: 0.542


# 2
A plane-wave DFT calculation with PBE was carried out for Fe2CuIr9 after structural relaxation.

a = 3.8273 Å, b = 3.8273 Å, c = 11.4878 Å
α = 90.00°, β = 90.00°, γ = 90.00°
Element x y z (fractional)
Fe 0.0000 0.0000 0.3303
Fe 0.0000 0.0000 0.6697
Cu 0.0000 0.0000 0.0000
Ir 0.5000 0.5000 0.0000
Ir 0.5000 0.5000 0.3343
Ir 0.5000 0.5000 0.6657
Ir 0.5000 0.0000 0.1697
Ir 0.5000 0.0000 0.5000
Ir 0.5000 0.0000 0.8303
Ir 0.0000 0.5000 0.1697
Ir 0.0000 0.5000 0.5000
Ir 0.0000 0.5000 0.8303

Symmetry: No. 123
M_tot, μB/f.u.: 6.2
V, Å³ per cell: 168.28
N(E_F), states/eV/atom: 1.527
Calculated formation energy, eV/atom: 0.038


# 3
A plane-wave DFT calculation with PBE was carried out for Fe2CuIr after structural relaxation.

a = 2.6023 Å, b = 2.6023 Å, c = 8.4673 Å
α = 90.00°, β = 90.00°, γ = 114.76°
Element x y z (fractional)
Cu 0.5000 0.5000 0.7602
Fe 0.0000 0.0000 0.0052
Fe 0.5000 0.5000 0.2400
Ir 0.0000 0.0000 0.4947

Symmetry: No. 35
M_tot, μB/f.u.: 6.0
V, Å³ per cell: 52.07
N(E_F), states/eV/atom: 0.847
Calculated formation energy, eV/atom: 0.134